VASP calculation (GGA-PBE) on crystalline Ac2NiSn4Ir3 at its relaxed geometry.

```
10
Lattice="4.631 0.000 0.000 0.000 4.631 0.000 0.000 0.000 10.725" Properties=species:S:1:pos:R:3 pbc="T T T"
Ac 0.000 2.315 2.632
Ac 2.315 0.000 8.094
Ni 2.315 2.315 0.000
Sn 0.000 0.000 5.363
Sn 0.000 2.315 9.435
Sn 2.315 0.000 1.290
Sn 2.315 2.315 5.363
Ir 0.000 0.000 0.000
Ir 0.000 2.315 6.779
Ir 2.315 0.000 3.946
```

* DOS(E_F): 9.55 states/eV/f.u.
* DFT formation energy: -0.56 eV/atom
* total DFT energy (no corrections): -62.2 eV per cell
* symmetry: P-4m2 (115)